This record from Alexandria describes an optimized crystal structure of Ag5Ir3. The functional is PBE.

Properties
- formation enthalpy at 0 K (eV per atom) = 0.644
- space-group type = P6_3/mcm, No. 193
- energy above the most stable polymorph in this dataset (eV per atom) = 0.187

Cell lengths 8.0421, 8.0406, 4.9903 Å; angles 90.00, 90.00, 120.01 degrees
Last column: nearest neighbours and their distance in Å.
Atoms (fractional coordinates):
Ir 0.0000 0.4313 0.7500  7 Ag 2.69-3.00, 2 Ir 2.73
Ir 0.0000 0.5687 0.2500  7 Ag 2.69-3.00, 2 Ir 2.73
Ir 0.4313 0.0000 0.7500  7 Ag 2.69-3.00, 2 Ir 2.73
Ir 0.4313 0.4313 0.2500  7 Ag 2.69-3.00, 2 Ir 2.73
Ir 0.5687 0.0000 0.2500  7 Ag 2.69-3.00, 2 Ir 2.73
Ir 0.5687 0.5687 0.7500  7 Ag 2.69-3.00, 2 Ir 2.73
Ag 0.0000 0.2171 0.2500  5 Ir 2.83-3.03, 6 Ag 3.02-3.05
Ag 0.0000 0.7829 0.7500  5 Ir 2.83-3.03, 6 Ag 3.02-3.05
Ag 0.2172 0.0000 0.2500  5 Ir 2.83-3.03, 6 Ag 3.02-3.05
Ag 0.2171 0.2171 0.7500  5 Ir 2.83-3.03, 6 Ag 3.02-3.05
Ag 0.3333 0.6666 0.0000  2 Ag 2.50, 6 Ir 2.69
Ag 0.3333 0.6666 0.5000  2 Ag 2.50, 6 Ir 2.69
Ag 0.6667 0.3334 0.0000  2 Ag 2.50, 6 Ir 2.69
Ag 0.6667 0.3334 0.5000  2 Ag 2.50, 6 Ir 2.69
Ag 0.7828 0.0000 0.7500  5 Ir 2.83-3.03, 6 Ag 3.02-3.05
Ag 0.7829 0.7829 0.2500  5 Ir 2.83-3.03, 6 Ag 3.02-3.05

---

This record from Alexandria describes an optimized crystal structure of AgIr2. The functional is PBE.

Properties
- formation enthalpy at 0 K (eV per atom) = 0.456
- space-group type = Cmcm, No. 63
- energy above the most stable polymorph in this dataset (eV per atom) = 0.222

Cell lengths 6.2705, 6.2705, 3.9443 Å; angles 90.00, 90.00, 143.34 degrees
Last column: nearest neighbours and their distance in Å.
Atoms (fractional coordinates):
Ag 0.9197 0.0803 0.2500  2 Ag 2.75, 10 Ir 2.79-2.84
Ag 0.0803 0.9197 0.7500  2 Ag 2.75, 10 Ir 2.79-2.84
Ir 0.5916 0.4084 0.2500  6 Ir 2.71-2.94, 6 Ag 2.79-2.84
Ir 0.4084 0.5916 0.7500  6 Ir 2.71-2.94, 6 Ag 2.79-2.84
Ir 0.2483 0.7517 0.2500  8 Ir 2.71-2.79, 4 Ag 2.81-2.84
Ir 0.7517 0.2483 0.7500  8 Ir 2.71-2.79, 4 Ag 2.81-2.84

---

This record from Alexandria describes an optimized crystal structure of AgIr2. The functional is PBE.

Properties
- formation enthalpy at 0 K (eV per atom) = 0.798
- space-group type = P6_3/mmc, No. 194
- energy above the most stable polymorph in this dataset (eV per atom) = 0.564

Cell lengths 4.5077, 4.5077, 5.3612 Å; angles 90.00, 90.00, 120.00 degrees
Last column: nearest neighbours and their distance in Å.
Atoms (fractional coordinates):
Ag 0.3333 0.6667 0.2500  5 Ir 2.60-2.68
Ag 0.6667 0.3333 0.7500  5 Ir 2.60-2.68
Ir 0.0000 0.0000 0.0000  8 Ir 2.68-2.93, 6 Ag 2.93
Ir 0.0000 0.0000 0.5000  8 Ir 2.68-2.93, 6 Ag 2.93
Ir 0.3333 0.6667 0.7500  5 Ag 2.60-2.68
Ir 0.6667 0.3333 0.2500  5 Ag 2.60-2.68

---

This record from Alexandria describes an optimized crystal structure of AgIr2. The functional is PBE.

Properties
- formation enthalpy at 0 K (eV per atom) = 1.015
- space-group type = I4/mcm, No. 140
- energy above the most stable polymorph in this dataset (eV per atom) = 0.780

Cell lengths 5.1326, 5.1326, 5.1326 Å; angles 103.14, 103.14, 123.05 degrees
Last column: nearest neighbours and their distance in Å.
Atoms (fractional coordinates):
Ag 0.7500 0.7500 0.0000  2 Ag 2.45
Ag 0.2500 0.2500 0.0000  2 Ag 2.45
Ir 0.1341 0.3659 0.5000  1 Ir 2.42
Ir 0.3659 0.8659 0.2319  1 Ir 2.42
Ir 0.6341 0.1341 0.7681  1 Ir 2.42
Ir 0.8659 0.6341 0.5000  1 Ir 2.42

---

This record from Alexandria describes an optimized crystal structure of AgIr. The functional is PBE.

Properties
- formation enthalpy at 0 K (eV per atom) = 0.586
- space-group type = Fd-3m, No. 227

Cell lengths 4.5002, 4.5002, 4.5002 Å; angles 60.00, 60.00, 60.00 degrees
Last column: nearest neighbours and their distance in Å.
Atoms (fractional coordinates):
Ir 0.2500 0.2500 0.2500  4 Ag 2.76, 4 Ir 2.76
Ir 0.5000 0.5000 0.5000  4 Ir 2.76, 4 Ag 2.76
Ag 0.0000 0.0000 0.0000  4 Ag 2.76, 4 Ir 2.76
Ag 0.7500 0.7500 0.7500  4 Ir 2.76, 4 Ag 2.76

---

This record from Alexandria describes an optimized crystal structure of AgIr2. The functional is PBE.

Properties
- formation enthalpy at 0 K (eV per atom) = 0.638
- space-group type = P-62m, No. 189
- energy above the most stable polymorph in this dataset (eV per atom) = 0.403

Cell lengths 7.7052, 7.7052, 2.7282 Å; angles 90.00, 90.00, 120.00 degrees
Last column: nearest neighbours and their distance in Å.
Atoms (fractional coordinates):
Ag 0.0000 0.0000 0.5000  2 Ag 2.73, 9 Ir 2.74-2.76
Ag 0.3333 0.6667 0.0000  9 Ir 2.66-2.84, 2 Ag 2.73
Ag 0.6667 0.3333 0.0000  9 Ir 2.66-2.84, 2 Ag 2.73
Ir 0.0000 0.3110 0.0000  4 Ag 2.66-2.76, 8 Ir 2.73-2.92
Ir 0.0000 0.6450 0.5000  8 Ir 2.73-2.92, 5 Ag 2.74-2.84
Ir 0.3110 0.0000 0.0000  4 Ag 2.66-2.76, 8 Ir 2.73-2.92
Ir 0.6890 0.6890 0.0000  4 Ag 2.66-2.76, 8 Ir 2.73-2.92
Ir 0.6450 0.0000 0.5000  8 Ir 2.73-2.92, 5 Ag 2.74-2.84
Ir 0.3550 0.3550 0.5000  8 Ir 2.73-2.92, 5 Ag 2.74-2.84

---

This record from Alexandria describes an optimized crystal structure of AgIr. The functional is PBE.

Properties
- formation enthalpy at 0 K (eV per atom) = 0.290
- space-group type = P2_1/m, No. 11

Cell lengths 8.2470, 3.8715, 10.3679 Å; angles 90.00, 168.51, 90.00 degrees
Last column: nearest neighbours and their distance in Å.
Atoms (fractional coordinates):
Ir 0.3743 0.5000 0.0830  6 Ir 2.60-2.81, 1 Ag 2.79
Ir 0.3757 0.0000 0.9170  6 Ir 2.60-2.81, 1 Ag 2.79
Ag 0.9887 0.0000 0.9920  5 Ir 2.79-2.99, 6 Ag 2.81
Ag 0.7613 0.5000 0.0080  5 Ir 2.79-2.99, 6 Ag 2.81

---

This record from Alexandria describes an optimized crystal structure of Ag2Ir. The functional is PBE.

Properties
- formation enthalpy at 0 K (eV per atom) = 0.488
- space-group type = P-62m, No. 189
- energy above the most stable polymorph in this dataset (eV per atom) = 0.229

Cell lengths 8.0803, 8.0803, 2.6851 Å; angles 90.00, 90.00, 120.00 degrees
Last column: nearest neighbours and their distance in Å.
Atoms (fractional coordinates):
Ag 0.0000 0.3054 0.0000  4 Ag 2.69-3.00, 4 Ir 2.81
Ag 0.0000 0.6371 0.5000  4 Ag 2.69-3.00, 5 Ir 2.91-2.93
Ag 0.3054 0.0000 0.0000  4 Ag 2.69-3.00, 4 Ir 2.81
Ag 0.6946 0.6946 0.0000  4 Ag 2.69-3.00, 4 Ir 2.81
Ag 0.6371 0.0000 0.5000  4 Ag 2.69-3.00, 5 Ir 2.91-2.93
Ag 0.3629 0.3629 0.5000  4 Ag 2.69-3.00, 5 Ir 2.91-2.93
Ir 0.0000 0.0000 0.5000  2 Ir 2.69, 9 Ag 2.81-2.93
Ir 0.3333 0.6667 0.0000  2 Ir 2.69, 9 Ag 2.81-2.91
Ir 0.6667 0.3333 0.0000  2 Ir 2.69, 9 Ag 2.81-2.91

---

How do the records compare in DOS at the Fermi energy? In the order shown, they have 0.871 1.189 1.829 1.711 1.296 1.602 0.597 0.688 states/eV per atom.